# 1
{
  "formula": "CaLaNiIr",
  "functional": "PBE",
  "state": "optimized geometry",
  "cell": [[6.998, 0.000, 0.000], [0.000, 6.998, 0.000], [0.000, 0.000, 6.998]],
  "species": ["Ca", "Ca", "Ca", "Ca", "La", "La", "La", "La", "Ni", "Ni", "Ni", "Ni", "Ir", "Ir", "Ir", "Ir"],
  "frac_coords": [[0.000, 0.000, 0.000], [0.000, 0.500, 0.500], [0.500, 0.000, 0.500], [0.500, 0.500, 0.000], [0.000, 0.000, 0.500], [0.000, 0.500, 0.000], [0.500, 0.000, 0.000], [0.500, 0.500, 0.500], [0.250, 0.250, 0.250], [0.250, 0.750, 0.750], [0.750, 0.250, 0.750], [0.750, 0.750, 0.250], [0.250, 0.250, 0.750], [0.250, 0.750, 0.250], [0.750, 0.250, 0.250], [0.750, 0.750, 0.750]],
  "sg": "F-43m (216)",
  "density_g_cm3": 8.33,
  "crystal_system": "cubic",
  "formation_enthalpy_0k_mev_per_atom": -320,
  "dos_ef_per_ev_atom": 0.5917,
  "energy_ev_per_cell": -91.4
}

---

# 2
{
  "formula": "K3Ni",
  "functional": "PBE",
  "state": "optimized geometry",
  "cell": [[5.788, 0.000, 0.000], [0.000, 5.799, 0.000], [0.000, 0.000, 11.406]],
  "species": ["K", "K", "K", "K", "K", "K", "Ni", "Ni"],
  "frac_coords": [[0.000, 0.000, 0.000], [0.000, 0.500, 0.342], [0.000, 0.500, 0.658], [0.500, 0.000, 0.342], [0.500, 0.000, 0.658], [0.500, 0.500, 0.000], [0.000, 0.000, 0.500], [0.500, 0.500, 0.500]],
  "sg": "Cmmm (65)",
  "density_g_cm3": 1.53,
  "crystal_system": "orthorhombic",
  "formation_enthalpy_0k_mev_per_atom": 514,
  "dos_ef_per_ev_atom": 1.9936,
  "energy_ev_per_cell": -14.0
}

---

# 3
{
  "formula": "BaBeCu2Ge",
  "functional": "PBE",
  "state": "optimized geometry",
  "cell": [[4.664, 0.000, 0.000], [0.000, 4.664, 0.000], [0.000, 0.000, 4.571]],
  "species": ["Ba", "Be", "Cu", "Cu", "Ge"],
  "frac_coords": [[0.000, 0.000, 0.000], [0.500, 0.500, 0.500], [0.000, 0.500, 0.500], [0.500, 0.000, 0.500], [0.500, 0.500, 0.000]],
  "sg": "P4/mmm (123)",
  "density_g_cm3": 5.78,
  "crystal_system": "tetragonal",
  "formation_enthalpy_0k_mev_per_atom": 138,
  "dos_ef_per_ev_atom": 0.5183,
  "energy_ev_per_cell": -17.8
}